# Ca3Zn8Ni (GGA-PBE, relaxed)
data_Ca3Zn8Ni
_space_group_name_H-M_alt 'R 3 m'
_space_group_IT_number 160
_space_group_name_Hall 'R 3 -2"'
_cell_length_a 5.3071
_cell_length_b 5.3071
_cell_length_c 27.4325
_cell_angle_alpha 90.00
_cell_angle_beta 90.00
_cell_angle_gamma 120.00
loop_
_atom_site_label
_atom_site_type_symbol
_atom_site_fract_x
_atom_site_fract_y
_atom_site_fract_z
Ca1 Ca 0.0000 0.0000 0.0000
Ca2 Ca 0.0000 0.0000 0.1281
Ca3 Ca 0.0000 0.0000 0.6151
Zn1 Zn 0.0000 0.0000 0.3086
Zn2 Zn 0.0000 0.0000 0.8111
Zn3 Zn 0.0014 0.5007 0.0622
Zn4 Zn 0.0016 0.5008 0.5568
Ni1 Ni 0.0000 0.0000 0.5137
# Calculated formation energy (eV/atom): -0.157
# Size of the total moment (μB/f.u.): 0.00

---

# CaZnNi (GGA-PBE, relaxed)
data_CaZnNi
_space_group_name_H-M_alt 'F -4 3 m'
_space_group_IT_number 216
_space_group_name_Hall 'F -4 2 3'
_cell_length_a 6.577
_cell_length_b 6.577
_cell_length_c 6.577
_cell_angle_alpha 90.00
_cell_angle_beta 90.00
_cell_angle_gamma 90.00
loop_
_atom_site_label
_atom_site_type_symbol
_atom_site_fract_x
_atom_site_fract_y
_atom_site_fract_z
Ca1 Ca 0.000 0.000 0.000
Zn1 Zn 0.250 0.250 0.750
Ni1 Ni 0.250 0.250 0.250
# Calculated formation energy (eV/atom): 0.506
# Size of the total moment (μB/f.u.): 0.00

---

no.,final energy (eV/atom)
1,-1.99
2,-2.51